Entry 1:
{
  "formula": "AlV4N",
  "functional": "PBE-GGA",
  "state": "relaxed",
  "density_g_cm3": 4.8,
  "formation_energy_uncorrected_mev_per_atom": -183,
  "dft_energy_ev_per_cell": -99.3,
  "space_group": "P2_1/c (14)",
  "crystal_system": "monoclinic",
  "lattice": [[4.316, 0.000, 0.000], [0.000, 5.652, -0.349], [0.000, -2.703, 7.177]],
  "species": ["Al", "Al", "V", "V", "V", "V", "V", "V", "V", "V", "N", "N"],
  "frac_coords": [[0.000, 0.500, 0.500], [0.500, 0.000, 0.500], [0.247, 0.820, 0.126], [0.253, 0.320, 0.126], [0.788, 0.618, 0.214], [0.288, 0.882, 0.786], [0.712, 0.118, 0.214], [0.212, 0.382, 0.786], [0.747, 0.680, 0.874], [0.753, 0.180, 0.874], [0.500, 0.500, 0.000], [0.000, 0.000, 0.000]]
}



Entry 2:
{
  "formula": "AlVW2N",
  "functional": "PBE-GGA",
  "state": "relaxed",
  "density_g_cm3": 8.3,
  "formation_energy_uncorrected_mev_per_atom": 2433,
  "dft_energy_ev_per_cell": -34.9,
  "space_group": "P4/mmm (123)",
  "crystal_system": "tetragonal",
  "lattice": [[-1.861, -2.484, 3.229], [4.159, -0.967, 1.652], [-0.214, 3.605, 2.650]],
  "species": ["N", "Al", "W", "W", "V"],
  "frac_coords": [[0.500, 0.500, 0.500], [0.000, 0.500, 0.000], [0.000, 0.000, 0.500], [0.500, 0.000, 0.000], [0.000, 0.000, 0.000]]
}



Entry 3:
{
  "formula": "ZrAlV2N",
  "functional": "PBE-GGA",
  "state": "relaxed",
  "density_g_cm3": 5.5,
  "formation_energy_uncorrected_mev_per_atom": -667,
  "dft_energy_ev_per_cell": -42.2,
  "space_group": "P4/mmm (123)",
  "crystal_system": "tetragonal",
  "lattice": [[3.954, 0.000, 0.000], [0.000, 4.526, 0.000], [0.000, 0.000, 3.954]],
  "species": ["N", "Al", "Zr", "V", "V"],
  "frac_coords": [[0.000, 0.000, 0.000], [0.500, 0.500, 0.500], [0.000, 0.500, 0.000], [0.000, 0.000, 0.500], [0.500, 0.000, 0.000]]
}